A relaxed YTlI2O crystal, computed with PBE-GGA.

Values from the calculation:
* calculated density: 5.5 g/cm³
* total moment: 0.0 μB/f.u.
* raw formation energy: -1.51 eV per atom
* space-group type: P4/mmm

a = 6.3273 Å, b = 6.3273 Å, c = 4.2317 Å
α = 90.00°, β = 90.00°, γ = 90.00°
Last column: nearest neighbours and their distance in Å.
Fractional positions:
I 0.5000 0.0000 0.0000  2 Y 3.16
Tl 0.5000 0.5000 0.5000  8 I 3.81, 2 Tl 4.23
Y 0.0000 0.0000 0.0000  2 O 2.12
O 0.0000 0.0000 0.5000  2 Y 2.12
I 0.0000 0.5000 0.0000  2 Y 3.16


A relaxed ZrTl3I2O9 crystal, computed with PBE-GGA.

Values from the calculation:
* calculated density: 8.2 g/cm³
* total moment: 0.0 μB/f.u.
* raw formation energy: -0.91 eV per atom
* space-group type: P-3m1

a = 5.9485 Å, b = 5.9485 Å, c = 7.2836 Å
α = 90.00°, β = 90.00°, γ = 120.00°
Last column: nearest neighbours and their distance in Å.
Fractional positions:
I 0.6667 0.3333 0.8243  6 O 2.02-2.14
O 0.1727 0.3454 0.3338  1 I 2.02, 1 Zr 2.15
O 0.3454 0.1727 0.6662  1 I 2.02, 1 Zr 2.15
Tl 0.3333 0.6667 0.6813  12 O 2.89-3.02
O 0.0000 0.5000 0.0000  2 I 2.14
O 0.5000 0.5000 0.0000  2 I 2.14
Zr 0.0000 0.0000 0.5000  6 O 2.15
O 0.6546 0.8273 0.3338  1 I 2.02, 1 Zr 2.15
O 0.1727 0.8273 0.3338  1 I 2.02, 1 Zr 2.15
I 0.3333 0.6667 0.1757  6 O 2.02-2.14
Tl 0.6667 0.3333 0.3187  12 O 2.89-3.02
Tl 0.0000 0.0000 0.0000  12 O 2.97-3.01
O 0.5000 0.0000 0.0000  2 I 2.14
O 0.8273 0.6546 0.6662  1 I 2.02, 1 Zr 2.15
O 0.8273 0.1727 0.6662  1 I 2.02, 1 Zr 2.15


A relaxed ZrTlI2O crystal, computed with PBE-GGA.

Values from the calculation:
* calculated density: 6.2 g/cm³
* total moment: 0.9 μB/f.u.
* raw formation energy: -1.21 eV per atom
* space-group type: P4/mmm

a = 6.1023 Å, b = 6.1023 Å, c = 4.0695 Å
α = 90.00°, β = 90.00°, γ = 90.00°
Last column: nearest neighbours and their distance in Å.
Fractional positions:
I 0.0000 0.5000 0.0000  2 Zr 3.05
I 0.5000 0.0000 0.0000  2 Zr 3.05
Zr 0.0000 0.0000 0.0000  2 O 2.03
Tl 0.5000 0.5000 0.5000  8 I 3.67, 2 Tl 4.07
O 0.0000 0.0000 0.5000  2 Zr 2.03